Computed, not measured: a crystal of CaY3 relaxed with PBEsol at the meta-GGA SCAN level of DFT.

abc: 3.567 3.567 10.265
angles: 90.00 90.00 90.00
Space group P4/mmm (No. 123)
Unique sites:
Ca 0.000 0.000 0.000 [1 per cell]
Y 0.000 0.000 0.500 [1 per cell]
Y 0.500 0.500 0.269 [2 per cell]

Properties
Fermi-level density of states: 5.59 states/eV per cell
total DFT energy (no corrections): -23.200 eV per atom
crystal system: tetragonal
DFT formation energy: 0.10 eV/atom
magnetization: 0.6 μB/cell

Computed, not measured: a crystal of IrPt3 relaxed with PBEsol at the meta-GGA SCAN level of DFT.

abc: 2.7609 2.7609 26.8214
angles: 90.00 90.00 120.00
Space group R-3m (No. 166, hexagonal axes)
Unique sites:
Ir 0.0000 0.0000 0.0000 [3 per cell]
Pt 0.0000 0.0000 0.2517 [6 per cell]
Pt 0.0000 0.0000 0.5000 [3 per cell]

Properties
Fermi-level density of states: 17.38 states/eV per cell
total DFT energy (no corrections): -70.346 eV per atom
crystal system: trigonal
DFT formation energy: 0.07 eV/atom
magnetization: 0.2 μB/cell

Computed, not measured: a crystal of La2InCu relaxed with PBEsol at the meta-GGA SCAN level of DFT.

abc: 3.669 5.141 10.721
angles: 90.00 90.00 90.00
Space group Imm2 (No. 44)
Unique sites:
La 0.000 0.000 0.000 [2 per cell]
La 0.000 0.500 0.203 [2 per cell]
In 0.000 0.000 0.414 [2 per cell]
Cu 0.000 0.500 0.733 [2 per cell]

Properties
Fermi-level density of states: 5.61 states/eV per cell
total DFT energy (no corrections): -34.066 eV per atom
crystal system: orthorhombic
DFT formation energy: -0.37 eV/atom
magnetization: 0.0 μB/cell

Computed, not measured: a crystal of Ni4MoRh relaxed with PBEsol at the meta-GGA SCAN level of DFT.

abc: 6.513 6.513 6.513
angles: 90.00 90.00 90.00
Space group F-43m (No. 216)
Unique sites:
Ni 0.125 0.125 0.125 [16 per cell]
Mo 0.250 0.250 0.750 [4 per cell]
Rh 0.000 0.000 0.500 [4 per cell]

Properties
Fermi-level density of states: 17.89 states/eV per cell
total DFT energy (no corrections): -22.266 eV per atom
crystal system: cubic
DFT formation energy: -0.04 eV/atom
magnetization: 7.1 μB/cell

Computed, not measured: a crystal of YSeBr relaxed with PBEsol at the meta-GGA SCAN level of DFT.

abc: 4.0766 4.0766 6.3338
angles: 90.00 90.00 120.00
Space group P3m1 (No. 156)
Unique sites:
Y 0.0000 0.0000 0.0000 [1 per cell]
Se 0.3333 0.6667 0.2205 [1 per cell]
Br 0.6667 0.3333 0.7232 [1 per cell]

Properties
Fermi-level density of states: 0.00 states/eV per cell
total DFT energy (no corrections): -24.545 eV per atom
crystal system: trigonal
magnetization: 0.0 μB/cell
formation energy without anion corrections: -2085 meV per atom

Computed, not measured: a crystal of Mn17Fe12 relaxed with PBEsol at the meta-GGA SCAN level of DFT.

abc: 8.440 8.440 8.440
angles: 90.00 90.00 90.00
Space group I-43m (No. 217)
Unique sites:
Mn 0.000 0.000 0.000 [2 per cell]
Mn 0.036 0.354 0.354 [24 per cell]
Mn 0.180 0.180 0.820 [8 per cell]
Fe 0.090 0.090 0.283 [24 per cell]

Properties
Fermi-level density of states: 49.10 states/eV per cell
total DFT energy (no corrections): -18.102 eV per atom
crystal system: cubic
DFT formation energy: 0.10 eV/atom
magnetization: 4.3 μB/cell